CsTlAg3 | the Alexandria database | GGA-PBE | relaxed; E above lowest polymorph = 0.832 eV per atom; DFT total energy = -1.30 eV/atom; ΔE_f = 1.05 eV/atom; DOS at the Fermi energy = 9.48 states/eV/f.u.; theoretical density = 4.147 Mg/m³
1.0
6.420 0.000 0.000
0.000 6.420 0.000
0.000 0.000 6.420
Cs Tl Ag
1 1 3
direct
0.000 0.000 0.000
0.500 0.500 0.500
0.000 0.500 0.000
0.000 0.000 0.500
0.500 0.000 0.000